The following is a PBE-GGA calculation of crystalline YPuSc2Te4 at its relaxed geometry, from Alexandria.

Results
E_form (uncorrected) = -1.164 eV per atom
Space-group type = P2/m (10)
Crystal system = monoclinic

Cell: 4.2516 7.4203 7.4293 Å, 109.04 90.00 90.00°
Last column: nearest neighbours and their distance in Å.
Fractional positions:
1 Sc 0.0000 0.5000 0.5000  6 Te 2.97
2 Y 0.0000 0.0000 0.0000  6 Te 3.08-3.09
3 Sc 0.5000 0.0000 0.5000  6 Te 2.95
4 Te 0.0000 0.7577 0.2674  3 Sc 2.95-2.97, 1 Y 3.08, 2 Pu 3.11
5 Te 0.5000 0.2533 0.2664  3 Sc 2.95-2.97, 2 Y 3.09, 1 Pu 3.10
6 Pu 0.5000 0.5000 0.0000  6 Te 3.10-3.11
7 Te 0.0000 0.2423 0.7326  3 Sc 2.95-2.97, 1 Y 3.08, 2 Pu 3.11
8 Te 0.5000 0.7467 0.7336  3 Sc 2.95-2.97, 2 Y 3.09, 1 Pu 3.10